# 1
The following is a PBE calculation of a geometry-optimized HoNpPa2C4 structure, from Alexandria via LeMat-Bulk.

Cell and atoms, written as CIF:
```
data_HoNpPa2C4
_chemical_formula_sum 'Ho1 Np1 Pa2 C4'
_symmetry_space_group_name_H-M 'P 1 2/m 1'
_symmetry_Int_Tables_number 10
_cell_length_a 6.1533
_cell_length_b 3.5947
_cell_length_c 6.2142
_cell_angle_alpha 90.00
_cell_angle_beta 109.51
_cell_angle_gamma 90.00
loop_
_symmetry_equiv_pos_as_xyz
'x,y,z'
'-x,-y,-z'
'-x,y,-z'
'x,-y,z'
loop_
_atom_site_label
_atom_site_type_symbol
_atom_site_fract_x
_atom_site_fract_y
_atom_site_fract_z
Ho1 Ho 0.0000 0.0000 0.0000
Np1 Np 0.0000 0.5000 0.5000
Pa1 Pa 0.5000 0.0000 0.5000
Pa2 Pa 0.5000 0.5000 0.0000
C1 C 0.2575 0.5000 0.2666
C2 C 0.2586 0.0000 0.7498
```

Summary:
Calculated density ... 11.69 Mg/m³
Energy of formation ... -0.258 eV/atom

# 2
The following is a PBE calculation of a geometry-optimized AcMnZnPt3 structure, from Alexandria via LeMat-Bulk.

Cell and atoms, written as CIF:
```
data_AcMnZnPt3
_chemical_formula_sum 'Ac4 Mn4 Zn4 Pt12'
_symmetry_space_group_name_H-M 'C m c m'
_symmetry_Int_Tables_number 63
_symmetry_space_group_name_Hall '-C 2c 2'
_cell_length_a 6.7610
_cell_length_b 12.5666
_cell_length_c 5.7834
_cell_angle_alpha 90.00
_cell_angle_beta 90.00
_cell_angle_gamma 90.00
loop_
_atom_site_label
_atom_site_type_symbol
_atom_site_fract_x
_atom_site_fract_y
_atom_site_fract_z
Ac1 Ac 0.0000 0.2104 0.2500
Mn1 Mn 0.0000 0.4598 0.2500
Zn1 Zn 0.0000 0.1346 0.7500
Pt1 Pt 0.0000 0.3342 0.7500
Pt2 Pt 0.2041 0.0000 0.0000
```

Summary:
Calculated density ... 12.61 Mg/m³
Energy of formation ... -0.484 eV/atom

# 3
The following is a PBE calculation of a geometry-optimized LaTmAgSn structure, from Alexandria via LeMat-Bulk.

Cell and atoms, written as CIF:
```
data_LaTmAgSn
_chemical_formula_sum 'La4 Tm4 Ag4 Sn4'
_symmetry_space_group_name_H-M 'F -4 3 m'
_symmetry_Int_Tables_number 216
_symmetry_space_group_name_Hall 'F -4 2 3'
_cell_length_a 7.5676
_cell_length_b 7.5676
_cell_length_c 7.5676
_cell_angle_alpha 90.00
_cell_angle_beta 90.00
_cell_angle_gamma 90.00
loop_
_atom_site_label
_atom_site_type_symbol
_atom_site_fract_x
_atom_site_fract_y
_atom_site_fract_z
La1 La 0.0000 0.0000 0.0000
Tm1 Tm 0.0000 0.0000 0.5000
Ag1 Ag 0.2500 0.2500 0.7500
Sn1 Sn 0.2500 0.2500 0.2500
```

Summary:
Calculated density ... 8.19 Mg/m³
Energy of formation ... -0.499 eV/atom

# 4
The following is a PBE calculation of a geometry-optimized Ho2Be2Ge3 structure, from Alexandria via LeMat-Bulk.

Cell and atoms, written as CIF:
```
data_Ho2Be2Ge3
_chemical_formula_sum 'Ho8 Be8 Ge12'
_symmetry_space_group_name_H-M 'C m c m'
_symmetry_Int_Tables_number 63
_symmetry_space_group_name_Hall '-C 2c 2'
_cell_length_a 3.8915
_cell_length_b 18.5794
_cell_length_c 6.8425
_cell_angle_alpha 90.00
_cell_angle_beta 90.00
_cell_angle_gamma 90.00
loop_
_atom_site_label
_atom_site_type_symbol
_atom_site_fract_x
_atom_site_fract_y
_atom_site_fract_z
Ho1 Ho 0.0000 0.0469 0.2500
Ho2 Ho 0.0000 0.1707 0.7500
Be1 Be 0.0000 0.3350 0.5963
Ge1 Ge 0.0000 0.2086 0.2500
Ge2 Ge 0.0000 0.4357 0.0701
```

Summary:
Calculated density ... 7.60 Mg/m³
Energy of formation ... -0.448 eV/atom

# 5
The following is a PBE calculation of a geometry-optimized La2ZnP4Rh3 structure, from Alexandria via LeMat-Bulk.

Cell and atoms, written as CIF:
```
data_La2ZnP4Rh3
_chemical_formula_sum 'La2 Zn1 P4 Rh3'
_symmetry_space_group_name_H-M 'P -4 m 2'
_symmetry_Int_Tables_number 115
_cell_length_a 4.2444
_cell_length_b 4.2444
_cell_length_c 9.6773
_cell_angle_alpha 90.00
_cell_angle_beta 90.00
_cell_angle_gamma 90.00
loop_
_symmetry_equiv_pos_as_xyz
'x,y,z'
'y,-x,-z'
'-x,-y,z'
'-y,x,-z'
'-x,y,z'
'-y,-x,-z'
'x,-y,z'
'y,x,-z'
loop_
_atom_site_label
_atom_site_type_symbol
_atom_site_fract_x
_atom_site_fract_y
_atom_site_fract_z
La1 La 0.0000 0.5000 0.2402
Zn1 Zn 0.0000 0.0000 0.5000
P1 P 0.0000 0.0000 0.0000
P2 P 0.0000 0.5000 0.6400
P3 P 0.5000 0.5000 0.0000
Rh1 Rh 0.0000 0.5000 0.8908
Rh2 Rh 0.5000 0.5000 0.5000
```

Summary:
Calculated density ... 7.39 Mg/m³
Energy of formation ... -1.021 eV/atom

# 6
The following is a PBE calculation of a geometry-optimized PmPaSi2Ni2 structure, from Alexandria via LeMat-Bulk.

Cell and atoms, written as CIF:
```
data_PmPaSi2Ni2
_chemical_formula_sum 'Pm1 Pa1 Si2 Ni2'
_symmetry_space_group_name_H-M 'P -3 m 1'
_symmetry_Int_Tables_number 164
_symmetry_space_group_name_Hall '-P 3 2"'
_cell_length_a 4.0849
_cell_length_b 4.0849
_cell_length_c 7.7105
_cell_angle_alpha 90.00
_cell_angle_beta 90.00
_cell_angle_gamma 120.00
loop_
_atom_site_label
_atom_site_type_symbol
_atom_site_fract_x
_atom_site_fract_y
_atom_site_fract_z
Pm1 Pm 0.0000 0.0000 0.0000
Pa1 Pa 0.0000 0.0000 0.5000
Si1 Si 0.3333 0.6667 0.7376
Ni1 Ni 0.3333 0.6667 0.2712
```

Summary:
Raw formation energy ... -0.742 eV per atom
Calculated density ... 8.19 Mg/m³

# 7
The following is a PBE calculation of a geometry-optimized RbMgS3 structure, from Alexandria via LeMat-Bulk.

Cell and atoms, written as CIF:
```
data_RbMgS3
_chemical_formula_sum 'Rb1 Mg1 S3'
_symmetry_space_group_name_H-M 'P m -3 m'
_symmetry_Int_Tables_number 221
_symmetry_space_group_name_Hall '-P 4 2 3'
_cell_length_a 5.0324
_cell_length_b 5.0324
_cell_length_c 5.0324
_cell_angle_alpha 90.00
_cell_angle_beta 90.00
_cell_angle_gamma 90.00
loop_
_atom_site_label
_atom_site_type_symbol
_atom_site_fract_x
_atom_site_fract_y
_atom_site_fract_z
Rb1 Rb 0.0000 0.0000 0.0000
Mg1 Mg 0.5000 0.5000 0.5000
S1 S 0.0000 0.5000 0.5000
```

Summary:
Polymorph energy (0 for the lowest one) ... 0.000 eV per atom
Raw formation energy ... -0.379 eV per atom
Calculated density ... 2.68 Mg/m³

# 8
The following is a PBE calculation of a geometry-optimized V2CoHRh structure, from Alexandria via LeMat-Bulk.

Cell and atoms, written as CIF:
```
data_V2CoHRh
_chemical_formula_sum 'V2 Co1 H1 Rh1'
_symmetry_space_group_name_H-M 'P 4/m m m'
_symmetry_Int_Tables_number 123
_symmetry_space_group_name_Hall '-P 4 2'
_cell_length_a 3.8004
_cell_length_b 3.8004
_cell_length_c 3.6425
_cell_angle_alpha 90.00
_cell_angle_beta 90.00
_cell_angle_gamma 90.00
loop_
_atom_site_label
_atom_site_type_symbol
_atom_site_fract_x
_atom_site_fract_y
_atom_site_fract_z
V1 V 0.0000 0.5000 0.0000
Co1 Co 0.0000 0.0000 0.5000
H1 H 0.0000 0.0000 0.0000
Rh1 Rh 0.5000 0.5000 0.5000
```

Summary:
Polymorph energy (0 for the lowest one) ... 0.000 eV per atom
Calculated density ... 8.36 Mg/m³

# 9
The following is a PBE calculation of a geometry-optimized Tl2WBr structure, from Alexandria via LeMat-Bulk.

Cell and atoms, written as CIF:
```
data_Tl2WBr
_chemical_formula_sum 'Tl4 W2 Br2'
_symmetry_space_group_name_H-M 'I m m 2'
_symmetry_Int_Tables_number 44
_cell_length_a 3.1155
_cell_length_b 4.7528
_cell_length_c 15.7449
_cell_angle_alpha 90.00
_cell_angle_beta 90.00
_cell_angle_gamma 90.00
loop_
_symmetry_equiv_pos_as_xyz
'x,y,z'
'-x,-y,z'
'-x,y,z'
'x,-y,z'
'x+1/2,y+1/2,z+1/2'
'-x+1/2,-y+1/2,z+1/2'
'-x+1/2,y+1/2,z+1/2'
'x+1/2,-y+1/2,z+1/2'
loop_
_atom_site_label
_atom_site_type_symbol
_atom_site_fract_x
_atom_site_fract_y
_atom_site_fract_z
Tl1 Tl 0.0000 0.0000 0.0000
Tl2 Tl 0.0000 0.5000 0.1542
W1 W 0.0000 0.0000 0.4652
Br1 Br 0.0000 0.5000 0.8364
```

Summary:
Polymorph energy (0 for the lowest one) ... 0.077 eV per atom
Raw formation energy ... 0.562 eV per atom
Calculated density ... 9.58 Mg/m³

# 10
The following is a PBE calculation of a geometry-optimized Sr2LaSiP structure, from Alexandria via LeMat-Bulk.

Cell and atoms, written as CIF:
```
data_Sr2LaSiP
_chemical_formula_sum 'Sr2 La1 Si1 P1'
_symmetry_space_group_name_H-M 'P 4/m m m'
_symmetry_Int_Tables_number 123
_symmetry_space_group_name_Hall '-P 4 2'
_cell_length_a 5.7056
_cell_length_b 5.7056
_cell_length_c 5.0667
_cell_angle_alpha 90.00
_cell_angle_beta 90.00
_cell_angle_gamma 90.00
loop_
_atom_site_label
_atom_site_type_symbol
_atom_site_fract_x
_atom_site_fract_y
_atom_site_fract_z
Sr1 Sr 0.0000 0.5000 0.0000
La1 La 0.0000 0.0000 0.5000
Si1 Si 0.5000 0.5000 0.5000
P1 P 0.5000 0.5000 0.0000
```

Summary:
Raw formation energy ... 0.056 eV per atom
Calculated density ... 3.76 Mg/m³

# 11
The following is a PBE calculation of a geometry-optimized CoSiAg2 structure, from Alexandria via LeMat-Bulk.

Cell and atoms, written as CIF:
```
data_CoSiAg2
_chemical_formula_sum 'Co3 Si3 Ag6'
_symmetry_space_group_name_H-M 'R 3 m'
_symmetry_Int_Tables_number 160
_symmetry_space_group_name_Hall 'R 3 -2"'
_cell_length_a 2.8666
_cell_length_b 2.8666
_cell_length_c 25.5746
_cell_angle_alpha 90.00
_cell_angle_beta 90.00
_cell_angle_gamma 120.00
loop_
_atom_site_label
_atom_site_type_symbol
_atom_site_fract_x
_atom_site_fract_y
_atom_site_fract_z
Co1 Co 0.0000 0.0000 0.0000
Si1 Si 0.0000 0.0000 0.7291
Ag1 Ag 0.0000 0.0000 0.2466
Ag2 Ag 0.0000 0.0000 0.4829
```

Summary:
Raw formation energy ... 0.121 eV per atom
Calculated density ... 8.29 Mg/m³

# 12
The following is a PBE calculation of a geometry-optimized Ba2CdSnPt structure, from Alexandria via LeMat-Bulk.

Cell and atoms, written as CIF:
```
data_Ba2CdSnPt
_chemical_formula_sum 'Ba2 Cd1 Sn1 Pt1'
_symmetry_space_group_name_H-M 'P 4/m m m'
_symmetry_Int_Tables_number 123
_symmetry_space_group_name_Hall '-P 4 2'
_cell_length_a 6.2400
_cell_length_b 6.2400
_cell_length_c 5.0875
_cell_angle_alpha 90.00
_cell_angle_beta 90.00
_cell_angle_gamma 90.00
loop_
_atom_site_label
_atom_site_type_symbol
_atom_site_fract_x
_atom_site_fract_y
_atom_site_fract_z
Ba1 Ba 0.0000 0.5000 0.0000
Cd1 Cd 0.0000 0.0000 0.5000
Sn1 Sn 0.5000 0.5000 0.5000
Pt1 Pt 0.5000 0.5000 0.0000
```

Summary:
Calculated density ... 5.88 Mg/m³
Energy of formation ... -0.498 eV/atom